Material: Ca2Ta2CoO8
Method: DFT, PBE+U
State: optimized geometry

The structure belongs to space group C2/c (No. 15); the cell edges are 19.008, 6.334 and 5.462 Å and the angles 90.00°, 92.06° and 90.00°. The distinct sites, in fractional coordinates, are Ca at (0.208, 0.181, 0.243), Ta at (0.111, 0.350, 0.753), Co at (0.000, 0.137, 0.250), O at (0.056, 0.148, 0.581), O at (0.070, 0.373, 0.088), O at (0.181, 0.441, 0.499) and O at (0.185, 0.151, 0.840).

As for the calculated total energy: -8.212 eV/atom. The value obtained for the magnetization is 12.08 Bohr magnetons per cell. The density of states at the Fermi level comes out at 0.0000 states/eV/atom.